# 1
Below is TlIn2As at its PBEsol-relaxed geometry, with properties calculated at the meta-GGA SCAN level.

POSCAR file:
```
TlIn2As
1.0
-3.1290 0.4131 -0.5356
0.1753 -3.1808 0.3160
-1.5425 0.8775 9.6885
Tl In As
1 2 1
direct
0.0000 0.0000 0.4785 Tl
0.0000 0.0000 0.0235 In
0.5000 0.5000 0.7620 In
0.5000 0.5000 0.2359 As
```

Computed properties:
The density comes out at 8.542 g/cm³. As for the relative energy among the computed polymorphs: 72 meV/atom. The calculation puts the formation energy at 0.15 eV/atom. For the total energy, the calculation gives -158.71 eV for the cell shown.

---

# 2
Below is TlIn2As at its PBEsol-relaxed geometry, with properties calculated at the meta-GGA SCAN level.

POSCAR file:
```
TlIn2As
1.0
-1.5176 -2.6321 -0.3823
3.6602 -2.6835 3.9466
-5.0465 2.6071 2.0830
Tl In As
1 2 1
direct
0.5000 0.0000 0.5000 Tl
0.5000 0.5000 0.0000 In
0.0000 0.0000 0.0000 In
0.0000 0.5000 0.5000 As
```

Computed properties:
The density comes out at 8.613 g/cm³. As for the relative energy among the computed polymorphs: 87 meV/atom. The calculation puts the formation energy at 0.17 eV/atom. For the total energy, the calculation gives -158.65 eV for the cell shown.

---

# 3
Below is Tl2InAs at its PBEsol-relaxed geometry, with properties calculated at the meta-GGA SCAN level.

POSCAR file:
```
Tl2InAs
1.0
-2.6299 1.6124 0.1010
-0.2825 -0.1309 -5.2637
-2.9180 -5.4846 0.2929
As Tl In
1 2 1
direct
0.5000 0.5000 0.0000 As
0.1766 0.0000 0.7595 Tl
0.8234 0.0000 0.2405 Tl
0.5000 0.5000 0.5000 In
```

Computed properties:
The density comes out at 9.836 g/cm³. The calculation puts the formation energy at 0.15 eV/atom. For the total energy, the calculation gives -197.68 eV for the cell shown.

---

# 4
Below is TlIn2As at its PBEsol-relaxed geometry, with properties calculated at the meta-GGA SCAN level.

POSCAR file:
```
TlIn2As
1.0
-2.3978 0.6466 -2.5003
-0.2714 -5.0278 -1.0399
-2.7029 1.6374 5.4989
As In Tl
1 2 1
direct
0.0000 0.5000 0.0000 As
0.7112 0.7112 0.4224 In
0.2888 0.2888 0.5776 In
0.5000 0.0000 0.0000 Tl
```

Computed properties:
The density comes out at 8.444 g/cm³. As for the relative energy among the computed polymorphs: 17 meV/atom. The calculation puts the formation energy at 0.10 eV/atom. For the total energy, the calculation gives -158.93 eV for the cell shown.

---

# 5
Below is Tl2InAs at its PBEsol-relaxed geometry, with properties calculated at the meta-GGA SCAN level.

POSCAR file:
```
Tl2InAs
1.0
-2.4497 -2.6556 1.5505
1.5794 -3.4221 -3.3659
4.1918 1.5101 4.2247
Tl As In
2 1 1
direct
0.9872 0.9872 0.9745 Tl
0.7781 0.2781 0.5562 Tl
0.5249 0.5249 0.0499 As
0.2097 0.7097 0.4194 In
```

Computed properties:
The density comes out at 9.548 g/cm³. The calculation puts the formation energy at 0.08 eV/atom. For the total energy, the calculation gives -197.98 eV for the cell shown.

---

# 6
Below is TlIn2As at its PBEsol-relaxed geometry, with properties calculated at the meta-GGA SCAN level.

POSCAR file:
```
TlIn2As
1.0
-1.1116 -3.2758 -1.7223
-1.4032 -1.6543 4.0522
-3.8693 4.6657 -2.0419
In Tl As
2 1 1
direct
0.7381 0.2381 0.4762 In
0.9542 0.9542 0.9084 In
0.5384 0.5384 0.0768 Tl
0.2693 0.7693 0.5386 As
```

Computed properties:
The density comes out at 8.425 g/cm³. As for the relative energy among the computed polymorphs: 0 meV/atom. The calculation puts the formation energy at 0.08 eV/atom. For the total energy, the calculation gives -159.00 eV for the cell shown.